[1]
DFT (PBE) results for Tl2PtSe after structural relaxation.

a b c (Å): 7.211 7.211 7.211
angles (deg): 90.00 90.00 90.00
Space group Fm-3m (No. 225)
Symmetry-distinct sites (fractional):
1 Tl 0.250 0.250 0.250 [8 per cell]
2 Pt 0.000 0.000 0.000 [4 per cell]
3 Se 0.000 0.000 0.500 [4 per cell]

Electronic total energy, eV/atom: -3.31
Excess energy over the best structure of this formula in the dataset, meV/atom: 406.1
E_form (uncorrected), kJ/mol of atoms: 24.24

***

[2]
DFT (PBE) results for Tl2PtSe after structural relaxation.

a b c (Å): 3.042 3.808 8.079
angles (deg): 90.00 90.00 90.00
Space group Pmmm (No. 47)
Symmetry-distinct sites (fractional):
1 Tl 0.000 0.000 0.222 [2 per cell]
2 Pt 0.500 0.500 0.000 [1 per cell]
3 Se 0.500 0.500 0.500 [1 per cell]

Electronic total energy, eV/atom: -3.48
Excess energy over the best structure of this formula in the dataset, meV/atom: 242.2
E_form (uncorrected), kJ/mol of atoms: 8.42

***

[3]
DFT (PBE) results for Tl12Pt3Se5 after structural relaxation.

a b c (Å): 17.125 17.125 17.125
angles (deg): 90.00 90.00 90.00
Space group Ia-3d (No. 230)
Symmetry-distinct sites (fractional):
1 Tl 0.018 0.084 0.652 [96 per cell]
2 Pt 0.000 0.250 0.125 [24 per cell]
3 Se 0.000 0.000 0.000 [16 per cell]
4 Se 0.000 0.250 0.375 [24 per cell]

Electronic total energy, eV/atom: -3.27
E_form (uncorrected), kJ/mol of atoms: -7.42

***

[4]
DFT (PBE) results for TlPtSe2 after structural relaxation.

a b c (Å): 3.348 3.348 9.753
angles (deg): 90.00 90.00 90.00
Space group P4mm (No. 99)
Symmetry-distinct sites (fractional):
1 Tl 0.000 0.000 0.000 [1 per cell]
2 Pt 0.500 0.500 0.335 [1 per cell]
3 Se 0.000 0.000 0.420 [1 per cell]
4 Se 0.500 0.500 0.781 [1 per cell]

Electronic total energy, eV/atom: -3.77
Excess energy over the best structure of this formula in the dataset, meV/atom: 383.8
E_form (uncorrected), kJ/mol of atoms: 7.48

***

[5]
DFT (PBE) results for TlPtSe2 after structural relaxation.

a b c (Å): 6.927 6.927 6.927
angles (deg): 90.00 90.00 90.00
Space group F-43m (No. 216)
Symmetry-distinct sites (fractional):
1 Tl 0.000 0.000 0.000 [4 per cell]
2 Pt 0.250 0.250 0.250 [4 per cell]
3 Se 0.000 0.000 0.500 [4 per cell]
4 Se 0.250 0.250 0.750 [4 per cell]

Electronic total energy, eV/atom: -3.40
Excess energy over the best structure of this formula in the dataset, meV/atom: 747.2
E_form (uncorrected), kJ/mol of atoms: 42.54

***

[6]
DFT (PBE) results for Tl2Pt3Se4 after structural relaxation.

a b c (Å): 6.469 11.653 12.380
angles (deg): 90.00 90.00 90.00
Space group Fmmm (No. 69)
Symmetry-distinct sites (fractional):
1 Tl 0.000 0.000 0.134 [8 per cell]
2 Pt 0.000 0.000 0.500 [4 per cell]
3 Pt 0.250 0.250 0.000 [8 per cell]
4 Se 0.000 0.163 0.370 [16 per cell]

Electronic total energy, eV/atom: -4.43
E_form (uncorrected), kJ/mol of atoms: -33.45